UNbMo2: relaxed, PBE-GGA.

Values from the calculation:
DFT formation energy: 0.11 eV/atom
excess energy over the best structure of this formula in the dataset: 13 meV/atom
calculated volume: 18.085 Å³/atom
size of the total moment: 0.00 μB per formula unit
crystal system: tetragonal
space group: No. 123

abc: 3.2501 4.7178 4.7178
angles: 90.00 90.00 90.00
Sites, in units of the cell vectors:
U (0.5000, 0.0000, 0.0000)
Mo (0.0000, 0.0000, 0.5000)
Nb (0.5000, 0.5000, 0.5000)
Mo (0.0000, 0.5000, 0.0000)